Computed, not measured: crystalline NaPd2Br8 at its relaxed geometry at the GGA-PBE level of DFT.

Properties
The density of states at the Fermi level comes out at 5.71 states/eV/f.u. For the total energy, the calculation gives -2.52 eV/atom.

Lattice parameters (Å, degrees): 7.3972 7.3972 7.7099 106.82 106.82 77.82
Fractional coordinates of all 11 atoms:
Na 0.0000 0.0000 0.0000
Pd 0.1866 0.1866 0.6238
Pd 0.8134 0.8134 0.3762
Br 0.0744 0.7159 0.2230
Br 0.2519 0.2519 0.3595
Br 0.2841 0.9256 0.7770
Br 0.4169 0.4169 0.8268
Br 0.5831 0.5831 0.1732
Br 0.7159 0.0744 0.2230
Br 0.7481 0.7481 0.6405
Br 0.9256 0.2841 0.7770